NiAs2BrF | PBE with a Hubbard U | optimized geometry

Properties
Uncorrected energy   -2.73 eV per atom
Excess energy over the best structure of this formula in the dataset   0 meV per atom
Fermi-level density of states   2.31 states/eV/f.u.
M_tot   0.00 μB/atom

Cell lengths 4.508, 4.508, 4.862 Å; angles 90.00, 90.00, 90.00 degrees
Space group P4/mmm (No. 123)
Unique sites:
Ni1 0.000 0.000 0.000 (multiplicity 1)
As1 0.000 0.500 0.000 (multiplicity 2)
Br1 0.000 0.000 0.500 (multiplicity 1)
F1 0.500 0.500 0.500 (multiplicity 1)